# 1
Below is a geometry-optimized BaMgCd2Hg2 structure, with properties calculated at the PBE level.

## Properties
Fermi-level density of states = 3.8 states/eV/f.u.
E_form = -295 meV/atom
Electronic total energy = -1.287 eV per atom

Unit cell a=4.9484 b=4.9484 c=7.9864 alpha=90.00 beta=90.00 gamma=120.00
Space group P-3m1 (No. 164)
Symmetry-distinct sites (fractional):
1 Ba 0.0000 0.0000 0.0000 (multiplicity 1)
2 Mg 0.0000 0.0000 0.5000 (multiplicity 1)
3 Cd 0.3333 0.6667 0.3253 (multiplicity 2)
4 Hg 0.3333 0.6667 0.7221 (multiplicity 2)

***

# 2
Below is a geometry-optimized NdSm2Dy3As6 structure, with properties calculated at the PBE level.

## Properties
Fermi-level density of states = 1.8 states/eV/f.u.
E_form = -1526 meV/atom
Electronic total energy = -6.185 eV per atom

Unit cell a=7.236 b=12.530 c=7.233 alpha=90.00 beta=109.45 gamma=90.00
Space group C2/m (No. 12)
Symmetry-distinct sites (fractional):
1 Nd 0.000 0.000 0.000 (multiplicity 2)
2 Sm 0.000 0.333 0.000 (multiplicity 4)
3 Dy 0.000 0.166 0.500 (multiplicity 4)
4 Dy 0.000 0.500 0.500 (multiplicity 2)
5 As 0.247 0.332 0.743 (multiplicity 8)
6 As 0.250 0.000 0.743 (multiplicity 4)

***

# 3
Below is a geometry-optimized NdDy6Y2Mg structure, with properties calculated at the PBE level.

## Properties
Fermi-level density of states = 15.6 states/eV/f.u.
E_form = 114 meV/atom
Electronic total energy = -4.577 eV per atom

Unit cell a=10.027 b=19.308 c=6.651 alpha=90.00 beta=99.51 gamma=90.00
Space group C2/c (No. 15)
Symmetry-distinct sites (fractional):
1 Nd 0.000 0.010 0.250 (multiplicity 4)
2 Dy 0.066 0.145 0.536 (multiplicity 8)
3 Dy 0.109 0.412 0.478 (multiplicity 8)
4 Dy 0.174 0.258 0.218 (multiplicity 8)
5 Y 0.236 0.417 0.995 (multiplicity 8)
6 Mg 0.000 0.292 0.750 (multiplicity 4)

***

# 4
Below is a geometry-optimized PaZnFe structure, with properties calculated at the PBE level.

## Properties
Fermi-level density of states = 1.5 states/eV/f.u.
E_form = 176 meV/atom
Electronic total energy = -6.235 eV per atom

Unit cell a=3.467 b=3.467 c=9.187 alpha=90.00 beta=90.00 gamma=90.00
Space group I4mm (No. 107)
Symmetry-distinct sites (fractional):
1 Pa 0.000 0.000 0.000 (multiplicity 2)
2 Zn 0.000 0.000 0.686 (multiplicity 2)
3 Fe 0.000 0.000 0.245 (multiplicity 2)

***

# 5
Below is a geometry-optimized BeAs2Rh structure, with properties calculated at the PBE level.

## Properties
Fermi-level density of states = 3.1 states/eV/f.u.
E_form = 310 meV/atom
Electronic total energy = -4.784 eV per atom

Unit cell a=6.203 b=6.203 c=6.203 alpha=90.00 beta=90.00 gamma=90.00
Space group F-43m (No. 216)
Symmetry-distinct sites (fractional):
1 Be 0.000 0.000 0.000 (multiplicity 4)
2 As 0.000 0.000 0.500 (multiplicity 4)
3 As 0.250 0.250 0.250 (multiplicity 4)
4 Rh 0.250 0.250 0.750 (multiplicity 4)

***

# 6
Below is a geometry-optimized Mg3NiSn3Rh2 structure, with properties calculated at the PBE level.

## Properties
Fermi-level density of states = 4.2 states/eV/f.u.
E_form = -414 meV/atom
Electronic total energy = -4.556 eV per atom

Unit cell a=7.4657 b=7.4657 c=3.3805 alpha=90.00 beta=90.00 gamma=120.00
Space group P-62m (No. 189)
Symmetry-distinct sites (fractional):
1 Mg 0.0000 0.3908 0.0000 (multiplicity 3)
2 Ni 0.0000 0.0000 0.0000 (multiplicity 1)
3 Sn 0.0000 0.7262 0.5000 (multiplicity 3)
4 Rh 0.3333 0.6667 0.5000 (multiplicity 2)

***

# 7
Below is a geometry-optimized Na3HgPd8 structure, with properties calculated at the PBE level.

## Properties
Fermi-level density of states = 11.2 states/eV/f.u.
E_form = -124 meV/atom
Electronic total energy = -3.941 eV per atom

Unit cell a=5.3647 b=5.3647 c=26.3446 alpha=90.00 beta=90.00 gamma=120.00
Space group R3m (No. 160, hexagonal axes)
Symmetry-distinct sites (fractional):
1 Na 0.0000 0.0000 0.0000 (multiplicity 3)
2 Na 0.0000 0.0000 0.1253 (multiplicity 3)
3 Na 0.0000 0.0000 0.6252 (multiplicity 3)
4 Hg 0.0000 0.0000 0.4998 (multiplicity 3)
5 Pd 0.0000 0.0000 0.3128 (multiplicity 3)
6 Pd 0.0000 0.0000 0.8129 (multiplicity 3)
7 Pd 0.0015 0.5008 0.0638 (multiplicity 9)
8 Pd 0.1675 0.3350 0.8951 (multiplicity 9)

***

# 8
Below is a geometry-optimized Na2NdTeS4 structure, with properties calculated at the PBE level.

## Properties
Uncorrected formation energy = -8.4 eV/f.u.
Fermi-level density of states = 1.4 states/eV/f.u.
Electronic total energy = -4.437 eV per atom

Unit cell a=11.473 b=11.317 c=8.167 alpha=90.00 beta=131.33 gamma=90.00
Space group C2/c (No. 15)
Symmetry-distinct sites (fractional):
1 Na 0.000 0.000 0.000 (multiplicity 4)
2 Na 0.250 0.250 0.000 (multiplicity 4)
3 Nd 0.000 0.500 0.000 (multiplicity 4)
4 Te 0.250 0.250 0.500 (multiplicity 4)
5 S 0.034 0.251 0.527 (multiplicity 8)
6 S 0.233 0.489 0.470 (multiplicity 8)

***

# 9
Below is a geometry-optimized HgPt2Se structure, with properties calculated at the PBE level.

## Properties
Uncorrected formation energy = 0.9 eV/f.u.
Fermi-level density of states = 3.6 states/eV/f.u.
Electronic total energy = -3.731 eV per atom

Unit cell a=6.027 b=9.058 c=2.821 alpha=90.00 beta=91.89 gamma=90.00
Space group C2/m (No. 12)
Symmetry-distinct sites (fractional):
1 Hg 0.000 0.000 0.000 (multiplicity 2)
2 Pt 0.250 0.250 0.000 (multiplicity 4)
3 Se 0.000 0.500 0.000 (multiplicity 2)

***

# 10
Below is a geometry-optimized Na2DySeO4 structure, with properties calculated at the PBE level.

## Properties
Uncorrected formation energy = -13.6 eV/f.u.
Fermi-level density of states = 1.6 states/eV/f.u.
Electronic total energy = -5.517 eV per atom

Unit cell a=5.974 b=5.974 c=6.495 alpha=90.00 beta=90.00 gamma=90.00
Space group I-4 (No. 82)
Symmetry-distinct sites (fractional):
1 Na 0.000 0.000 0.000 (multiplicity 2)
2 Na 0.000 0.500 0.250 (multiplicity 2)
3 Dy 0.000 0.000 0.500 (multiplicity 2)
4 Se 0.000 0.500 0.750 (multiplicity 2)
5 O 0.182 0.216 0.717 (multiplicity 8)

***

# 11
Below is a geometry-optimized Ba2CaLaO structure, with properties calculated at the PBE level.

## Properties
Uncorrected formation energy = -5.0 eV/f.u.
Fermi-level density of states = 4.3 states/eV/f.u.
Electronic total energy = -4.146 eV per atom

Unit cell a=6.426 b=6.426 c=4.641 alpha=90.00 beta=90.00 gamma=90.00
Space group P4/mmm (No. 123)
Symmetry-distinct sites (fractional):
1 Ba 0.000 0.500 0.000 (multiplicity 2)
2 Ca 0.000 0.000 0.500 (multiplicity 1)
3 La 0.500 0.500 0.500 (multiplicity 1)
4 O 0.500 0.500 0.000 (multiplicity 1)

***

# 12
Below is a geometry-optimized Li5Ga3Ag3 structure, with properties calculated at the PBE level.

## Properties
Fermi-level density of states = 5.0 states/eV/f.u.
E_form = -84 meV/atom
Electronic total energy = -2.557 eV per atom

Unit cell a=9.0730 b=9.0730 c=2.8911 alpha=90.00 beta=90.00 gamma=120.00
Space group P-62m (No. 189)
Symmetry-distinct sites (fractional):
1 Li 0.0000 0.3365 0.0000 (multiplicity 3)
2 Li 0.3333 0.6667 0.0000 (multiplicity 2)
3 Ga 0.0000 0.8339 0.0000 (multiplicity 3)
4 Ag 0.0000 0.5889 0.5000 (multiplicity 3)

***

- Which of these has the lowest Fermi-level density of states?
  Na2NdTeS4

***

- Number 12 is which compound?
  Li5Ga3Ag3

***

- Among the records above, which one has the lowest electronic total energy?
  PaZnFe